A | # PBE-GGA LiTiCu2I, relaxed
# Spin magnetization, μB/atom: 0.3848
# Calculated volume, A^3/atom: 18.85
data_LiTiCu2I
_chemical_formula_sum 'Li1 Ti1 Cu2 I1'
_cell_length_a 4.3443
_cell_length_b 4.9935
_cell_length_c 4.3443
_cell_angle_alpha 90.00
_cell_angle_beta 90.00
_cell_angle_gamma 90.00
_symmetry_space_group_name_H-M 'P 1'
_symmetry_Int_Tables_number 1
_symmetry_space_group_name_Hall 'P 1'
loop_
_atom_site_label
_atom_site_type_symbol
_atom_site_fract_x
_atom_site_fract_y
_atom_site_fract_z
I1 I 0.5000 0.5000 0.5000
Li1 Li 0.0000 0.0000 0.0000
Cu1 Cu 0.5000 0.0000 0.0000
Cu2 Cu 0.0000 0.0000 0.5000
Ti1 Ti 0.0000 0.5000 0.0000

=====

B | # PBE-GGA LiTiCu2I, relaxed
# Spin magnetization, μB/atom: 0.2817
# Calculated volume, A^3/atom: 24.99
data_LiTiCu2I
_chemical_formula_sum 'Li1 Ti1 Cu2 I1'
_cell_length_a 4.9592
_cell_length_b 5.0801
_cell_length_c 4.9592
_cell_angle_alpha 90.00
_cell_angle_beta 90.00
_cell_angle_gamma 90.00
_symmetry_space_group_name_H-M 'P 1'
_symmetry_Int_Tables_number 1
_symmetry_space_group_name_Hall 'P 1'
loop_
_atom_site_label
_atom_site_type_symbol
_atom_site_fract_x
_atom_site_fract_y
_atom_site_fract_z
Li1 Li 0.5000 0.5000 0.5000
I1 I 0.0000 0.0000 0.0000
Cu1 Cu 0.0000 0.0000 0.5000
Cu2 Cu 0.5000 0.0000 0.0000
Ti1 Ti 0.0000 0.5000 0.0000

=====

Here is how they stack up, most stable first: A, B.

=====

A | # PBE-GGA MgCuI2, relaxed
# Spin magnetization, μB/atom: 0.0000
# Calculated volume, A^3/atom: 25.70
data_MgCuI2
_chemical_formula_sum 'Mg1 Cu1 I2'
_cell_length_a 5.2582
_cell_length_b 5.2582
_cell_length_c 5.2582
_cell_angle_alpha 60.00
_cell_angle_beta 60.00
_cell_angle_gamma 60.00
_symmetry_space_group_name_H-M 'P 1'
_symmetry_Int_Tables_number 1
_symmetry_space_group_name_Hall 'P 1'
loop_
_atom_site_label
_atom_site_type_symbol
_atom_site_fract_x
_atom_site_fract_y
_atom_site_fract_z
Mg1 Mg 0.0000 0.0000 0.0000
I1 I 0.2500 0.2500 0.2500
I2 I 0.7500 0.7500 0.7500
Cu1 Cu 0.5000 0.5000 0.5000

=====

B | # PBE-GGA MgCuI2, relaxed
# Spin magnetization, μB/atom: 0.0000
# Calculated volume, A^3/atom: 36.10
data_MgCuI2
_chemical_formula_sum 'Mg2 Cu2 I4'
_cell_length_a 6.8798
_cell_length_b 6.8798
_cell_length_c 7.8039
_cell_angle_alpha 63.85
_cell_angle_beta 63.85
_cell_angle_gamma 90.00
_symmetry_space_group_name_H-M 'P 1'
_symmetry_Int_Tables_number 1
_symmetry_space_group_name_Hall 'P 1'
loop_
_atom_site_label
_atom_site_type_symbol
_atom_site_fract_x
_atom_site_fract_y
_atom_site_fract_z
Mg1 Mg 0.2500 0.7500 0.5000
Mg2 Mg 0.5000 0.5000 0.0000
I1 I 0.8750 0.9302 0.7500
I2 I 0.0698 0.6250 0.2500
I3 I 0.6802 0.1250 0.2500
I4 I 0.3750 0.3198 0.7500
Cu1 Cu 0.7500 0.2500 0.5000
Cu2 Cu 0.0000 0.0000 0.0000

=====

Here is how they stack up, most stable first: B, A.

=====

A | # PBE-GGA MgCu2I, relaxed
# Spin magnetization, μB/atom: 0.0000
# Calculated volume, A^3/atom: 20.84
data_MgCu2I
_chemical_formula_sum 'Mg2 Cu4 I2'
_cell_length_a 7.6331
_cell_length_b 7.6331
_cell_length_c 6.1091
_cell_angle_alpha 51.34
_cell_angle_beta 51.34
_cell_angle_gamma 90.00
_symmetry_space_group_name_H-M 'P 1'
_symmetry_Int_Tables_number 1
_symmetry_space_group_name_Hall 'P 1'
loop_
_atom_site_label
_atom_site_type_symbol
_atom_site_fract_x
_atom_site_fract_y
_atom_site_fract_z
Mg1 Mg 0.5000 0.5000 0.0000
Mg2 Mg 0.2500 0.7500 0.5000
Cu1 Cu 0.1191 0.6250 0.2500
Cu2 Cu 0.3750 0.3691 0.7500
Cu3 Cu 0.8750 0.8809 0.7500
Cu4 Cu 0.6309 0.1250 0.2500
I1 I 0.7500 0.2500 0.5000
I2 I 0.0000 0.0000 0.0000

=====

B | # PBE-GGA MgCu2I, relaxed
# Spin magnetization, μB/atom: 0.0000
# Calculated volume, A^3/atom: 19.55
data_MgCu2I
_chemical_formula_sum 'Mg1 Cu2 I1'
_cell_length_a 4.7996
_cell_length_b 4.7996
_cell_length_c 4.7996
_cell_angle_alpha 60.00
_cell_angle_beta 60.00
_cell_angle_gamma 60.00
_symmetry_space_group_name_H-M 'P 1'
_symmetry_Int_Tables_number 1
_symmetry_space_group_name_Hall 'P 1'
loop_
_atom_site_label
_atom_site_type_symbol
_atom_site_fract_x
_atom_site_fract_y
_atom_site_fract_z
I1 I 0.5000 0.5000 0.5000
Cu1 Cu 0.2500 0.2500 0.2500
Cu2 Cu 0.7500 0.7500 0.7500
Mg1 Mg 0.0000 0.0000 0.0000

=====

Here is how they stack up, most stable first: A, B.

=====

A | # PBE-GGA MgCuIN2, relaxed
# Spin magnetization, μB/atom: 0.8142
# Calculated volume, A^3/atom: 21.21
data_MgCuIN2
_chemical_formula_sum 'Mg1 Cu1 I1 N2'
_cell_length_a 4.1200
_cell_length_b 4.1200
_cell_length_c 6.2477
_cell_angle_alpha 90.00
_cell_angle_beta 90.00
_cell_angle_gamma 90.00
_symmetry_space_group_name_H-M 'P 1'
_symmetry_Int_Tables_number 1
_symmetry_space_group_name_Hall 'P 1'
loop_
_atom_site_label
_atom_site_type_symbol
_atom_site_fract_x
_atom_site_fract_y
_atom_site_fract_z
N1 N 0.0000 0.5000 0.0000
N2 N 0.5000 0.0000 0.0000
I1 I 0.0000 0.0000 0.5000
Mg1 Mg 0.0000 0.0000 0.0000
Cu1 Cu 0.5000 0.5000 0.5000

=====

B | # PBE-GGA MgCuIN2, relaxed
# Spin magnetization, μB/atom: 0.5630
# Calculated volume, A^3/atom: 18.28
data_MgCuIN2
_chemical_formula_sum 'Mg1 Cu1 I1 N2'
_cell_length_a 3.9366
_cell_length_b 3.9366
_cell_length_c 5.8973
_cell_angle_alpha 90.00
_cell_angle_beta 90.00
_cell_angle_gamma 90.00
_symmetry_space_group_name_H-M 'P 1'
_symmetry_Int_Tables_number 1
_symmetry_space_group_name_Hall 'P 1'
loop_
_atom_site_label
_atom_site_type_symbol
_atom_site_fract_x
_atom_site_fract_y
_atom_site_fract_z
N1 N 0.5000 0.0000 0.0000
N2 N 0.0000 0.5000 0.0000
Mg1 Mg 0.5000 0.5000 0.5000
Cu1 Cu 0.0000 0.0000 0.0000
I1 I 0.0000 0.0000 0.5000

=====

Here is how they stack up, most stable first: B, A.

=====

A | # PBE-GGA MgCuSb2I, relaxed
# Spin magnetization, μB/atom: 0.0000
# Calculated volume, A^3/atom: 32.81
data_MgCuSb2I
_chemical_formula_sum 'Mg1 Cu1 Sb2 I1'
_cell_length_a 5.4119
_cell_length_b 5.4119
_cell_length_c 5.6017
_cell_angle_alpha 90.00
_cell_angle_beta 90.00
_cell_angle_gamma 90.00
_symmetry_space_group_name_H-M 'P 1'
_symmetry_Int_Tables_number 1
_symmetry_space_group_name_Hall 'P 1'
loop_
_atom_site_label
_atom_site_type_symbol
_atom_site_fract_x
_atom_site_fract_y
_atom_site_fract_z
I1 I 0.0000 0.0000 0.5000
Sb1 Sb 0.5000 0.0000 0.0000
Sb2 Sb 0.0000 0.5000 0.0000
Mg1 Mg 0.0000 0.0000 0.0000
Cu1 Cu 0.5000 0.5000 0.5000

=====

B | # PBE-GGA MgCuSb2I, relaxed
# Spin magnetization, μB/atom: 0.0291
# Calculated volume, A^3/atom: 29.35
data_MgCuSb2I
_chemical_formula_sum 'Mg1 Cu1 Sb2 I1'
_cell_length_a 5.0449
_cell_length_b 5.7666
_cell_length_c 5.0449
_cell_angle_alpha 90.00
_cell_angle_beta 90.00
_cell_angle_gamma 90.00
_symmetry_space_group_name_H-M 'P 1'
_symmetry_Int_Tables_number 1
_symmetry_space_group_name_Hall 'P 1'
loop_
_atom_site_label
_atom_site_type_symbol
_atom_site_fract_x
_atom_site_fract_y
_atom_site_fract_z
Mg1 Mg 0.5000 0.5000 0.5000
Cu1 Cu 0.0000 0.0000 0.0000
Sb1 Sb 0.0000 0.0000 0.5000
Sb2 Sb 0.5000 0.0000 0.0000
I1 I 0.0000 0.5000 0.0000

=====

Here is how they stack up, most stable first: B, A.

=====

A | # PBE-GGA MnCu2I6, relaxed
# Spin magnetization, μB/atom: 0.3973
# Calculated volume, A^3/atom: 33.37
data_MnCu2I6
_chemical_formula_sum 'Mn2 Cu4 I12'
_cell_length_a 7.3722
_cell_length_b 9.1072
_cell_length_c 9.1072
_cell_angle_alpha 84.88
_cell_angle_beta 83.00
_cell_angle_gamma 83.00
_symmetry_space_group_name_H-M 'P 1'
_symmetry_Int_Tables_number 1
_symmetry_space_group_name_Hall 'P 1'
loop_
_atom_site_label
_atom_site_type_symbol
_atom_site_fract_x
_atom_site_fract_y
_atom_site_fract_z
Mn1 Mn 0.2500 0.0965 0.9035
Mn2 Mn 0.7500 0.9035 0.0965
I1 I 0.8680 0.5360 0.7060
I2 I 0.3840 0.0380 0.1926
I3 I 0.1160 0.8074 0.9620
I4 I 0.3613 0.3726 0.8836
I5 I 0.6160 0.9620 0.8074
I6 I 0.6387 0.6274 0.1164
I7 I 0.3680 0.7060 0.5360
I8 I 0.1387 0.1164 0.6274
I9 I 0.6320 0.2940 0.4640
I10 I 0.8840 0.1926 0.0380
I11 I 0.8613 0.8836 0.3726
I12 I 0.1320 0.4640 0.2940
Cu1 Cu 0.1748 0.6056 0.7661
Cu2 Cu 0.8252 0.3944 0.2339
Cu3 Cu 0.6748 0.7661 0.6056
Cu4 Cu 0.3252 0.2339 0.3944

=====

B | # PBE-GGA MnCu2I6, relaxed
# Spin magnetization, μB/atom: 0.3293
# Calculated volume, A^3/atom: 41.37
data_MnCu2I6
_chemical_formula_sum 'Mn2 Cu4 I12'
_cell_length_a 7.2006
_cell_length_b 10.8058
_cell_length_c 10.8058
_cell_angle_alpha 88.27
_cell_angle_beta 109.44
_cell_angle_gamma 109.44
_symmetry_space_group_name_H-M 'P 1'
_symmetry_Int_Tables_number 1
_symmetry_space_group_name_Hall 'P 1'
loop_
_atom_site_label
_atom_site_type_symbol
_atom_site_fract_x
_atom_site_fract_y
_atom_site_fract_z
Cu1 Cu 0.0885 0.3277 0.1729
Cu2 Cu 0.4115 0.8271 0.6723
Cu3 Cu 0.5885 0.1729 0.3277
Cu4 Cu 0.9115 0.6723 0.8271
I1 I 0.7660 0.8282 0.6708
I2 I 0.2660 0.6708 0.8282
I3 I 0.0913 0.2608 0.9422
I4 I 0.2340 0.1718 0.3292
I5 I 0.8885 0.2387 0.5584
I6 I 0.9087 0.7392 0.0578
I7 I 0.1115 0.7613 0.4416
I8 I 0.4087 0.0578 0.7392
I9 I 0.3885 0.5584 0.2387
I10 I 0.6115 0.4416 0.7613
I11 I 0.7340 0.3292 0.1718
I12 I 0.5913 0.9422 0.2608
Mn1 Mn 0.7500 0.2496 0.7504
Mn2 Mn 0.2500 0.7504 0.2496

=====

Here is how they stack up, most stable first: B, A.